The following is a DFT calculation (GGA-PBEsol) of crystalline CeNi2Sb2 at its relaxed geometry.

Cell: 6.0759 6.0759 6.0759 Å, 138.68 138.68 59.86°
Fractional positions:
Ce 0.0000 0.0000 0.0000
Ni 0.2500 0.7500 0.5000
Ni 0.7500 0.2500 0.5000
Sb 0.3650 0.3650 0.0000
Sb 0.6350 0.6350 0.0000

final energy: -6.1635 eV/atom
SG: I4/mmm, No. 139
N(E_F): 7.22 states/eV/cell
raw formation energy: -54 kJ/mol of atoms
size of the total moment: 0.7 μB per formula unit